[1]
# PBE YSc4Ge4, relaxed
# DFT total energy in eV/atom: -6.17
# Energy of formation in eV per atom: -0.590
# Crystal system: tetragonal
# DOS at the Fermi energy in states/eV/cell: 15.16
data_YSc4Ge4
_chemical_formula_sum 'Y2 Sc8 Ge8'
_symmetry_space_group_name_H-M 'P 1'
_symmetry_Int_Tables_number 1
_cell_length_a 8.8610
_cell_length_b 8.8610
_cell_length_c 5.4470
_cell_angle_alpha 90.00
_cell_angle_beta 90.00
_cell_angle_gamma 90.00
loop_
_symmetry_equiv_pos_as_xyz
'x,y,z'
loop_
_atom_site_label
_atom_site_type_symbol
_atom_site_fract_x
_atom_site_fract_y
_atom_site_fract_z
_atom_site_occupancy
Y1 Y 0.2500 0.2500 0.2500 1
Y2 Y 0.7500 0.7500 0.7500 1
Sc1 Sc 0.1019 0.6393 0.1362 1
Sc2 Sc 0.1393 0.8981 0.6362 1
Sc3 Sc 0.3607 0.6019 0.6362 1
Sc4 Sc 0.3981 0.8607 0.1362 1
Sc5 Sc 0.6019 0.1393 0.8638 1
Sc6 Sc 0.6393 0.3981 0.3638 1
Sc7 Sc 0.8607 0.1019 0.3638 1
Sc8 Sc 0.8981 0.3607 0.8638 1
Ge1 Ge 0.0481 0.6012 0.6485 1
Ge2 Ge 0.1012 0.9519 0.1485 1
Ge3 Ge 0.3988 0.5481 0.1485 1
Ge4 Ge 0.4519 0.8988 0.6485 1
Ge5 Ge 0.5481 0.1012 0.3515 1
Ge6 Ge 0.6012 0.4519 0.8515 1
Ge7 Ge 0.8988 0.0481 0.8515 1
Ge8 Ge 0.9519 0.3988 0.3515 1



[2]
# PBE Pa2AgOs, relaxed
# Distance to the lowest polymorph of the same formula in meV/atom: 0
# DFT total energy in eV/atom: -8.36
# Energy of formation in eV per atom: -0.092
# Crystal system: tetragonal
# DOS at the Fermi energy in states/eV/cell: 6.05
data_Pa2AgOs
_chemical_formula_sum 'Pa2 Ag1 Os1'
_symmetry_space_group_name_H-M 'P 1'
_symmetry_Int_Tables_number 1
_cell_length_a 3.1170
_cell_length_b 3.1170
_cell_length_c 8.7889
_cell_angle_alpha 90.00
_cell_angle_beta 90.00
_cell_angle_gamma 90.00
loop_
_symmetry_equiv_pos_as_xyz
'x,y,z'
loop_
_atom_site_label
_atom_site_type_symbol
_atom_site_fract_x
_atom_site_fract_y
_atom_site_fract_z
_atom_site_occupancy
Pa1 Pa 0.0000 0.0000 0.2222 1
Pa2 Pa 0.0000 0.0000 0.7778 1
Ag1 Ag 0.5000 0.5000 0.5000 1
Os1 Os 0.5000 0.5000 0.0000 1



[3]
# PBE PaVC2, relaxed
# Distance to the lowest polymorph of the same formula in meV/atom: 178
# DFT total energy in eV/atom: -9.58
# Energy of formation in eV per atom: -0.311
# Crystal system: trigonal
# DOS at the Fermi energy in states/eV/cell: 2.09
data_PaVC2
_chemical_formula_sum 'Pa1 V1 C2'
_symmetry_space_group_name_H-M 'P 1'
_symmetry_Int_Tables_number 1
_cell_length_a 5.7691
_cell_length_b 5.7691
_cell_length_c 5.7691
_cell_angle_alpha 32.44
_cell_angle_beta 32.44
_cell_angle_gamma 32.44
loop_
_symmetry_equiv_pos_as_xyz
'x,y,z'
loop_
_atom_site_label
_atom_site_type_symbol
_atom_site_fract_x
_atom_site_fract_y
_atom_site_fract_z
_atom_site_occupancy
Pa1 Pa 0.0000 0.0000 0.0000 1
V1 V 0.5000 0.5000 0.5000 1
C1 C 0.2350 0.2350 0.2350 1
C2 C 0.7650 0.7650 0.7650 1



[4]
# PBE Ba5SnSb2, relaxed
# DFT total energy in eV/atom: -3.28
# Crystal system: monoclinic
# DOS at the Fermi energy in states/eV/cell: 6.34
data_Ba5SnSb2
_chemical_formula_sum 'Ba5 Sn1 Sb2'
_symmetry_space_group_name_H-M 'P 1'
_symmetry_Int_Tables_number 1
_cell_length_a 7.4032
_cell_length_b 7.4032
_cell_length_c 9.1300
_cell_angle_alpha 126.02
_cell_angle_beta 126.02
_cell_angle_gamma 62.01
loop_
_symmetry_equiv_pos_as_xyz
'x,y,z'
loop_
_atom_site_label
_atom_site_type_symbol
_atom_site_fract_x
_atom_site_fract_y
_atom_site_fract_z
_atom_site_occupancy
Ba1 Ba 0.0000 0.0000 0.0000 1
Ba2 Ba 0.4168 0.9164 0.8266 1
Ba3 Ba 0.4934 0.9562 0.4313 1
Ba4 Ba 0.9164 0.4168 0.8266 1
Ba5 Ba 0.9562 0.4934 0.4313 1
Sn1 Sn 0.3981 0.3981 0.3187 1
Sb1 Sb 0.4544 0.4544 0.9052 1
Sb2 Sb 0.9365 0.9365 0.3223 1



[5]
# PBE Al5Ir2, relaxed
# DFT total energy in eV/atom: -5.91
# Energy of formation in eV per atom: -0.700
# Crystal system: monoclinic
# DOS at the Fermi energy in states/eV/cell: 2.13
data_Al5Ir2
_chemical_formula_sum 'Al10 Ir4'
_symmetry_space_group_name_H-M 'P 1'
_symmetry_Int_Tables_number 1
_cell_length_a 6.9346
_cell_length_b 6.9346
_cell_length_c 5.3302
_cell_angle_alpha 90.08
_cell_angle_beta 90.08
_cell_angle_gamma 56.44
loop_
_symmetry_equiv_pos_as_xyz
'x,y,z'
loop_
_atom_site_label
_atom_site_type_symbol
_atom_site_fract_x
_atom_site_fract_y
_atom_site_fract_z
_atom_site_occupancy
Al1 Al 0.0006 0.9994 0.7500 1
Al2 Al 0.2331 0.2371 0.7480 1
Al3 Al 0.2371 0.2331 0.2480 1
Al4 Al 0.2749 0.5706 0.4986 1
Al5 Al 0.4294 0.7251 0.0014 1
Al6 Al 0.5706 0.2749 0.9986 1
Al7 Al 0.7251 0.4294 0.5014 1
Al8 Al 0.7629 0.7669 0.7520 1
Al9 Al 0.7669 0.7629 0.2520 1
Al10 Al 0.9994 0.0006 0.2500 1
Ir1 Ir 0.1337 0.6149 0.9997 1
Ir2 Ir 0.3851 0.8663 0.5003 1
Ir3 Ir 0.6149 0.1337 0.4997 1
Ir4 Ir 0.8663 0.3851 0.0003 1



[6]
# PBE Nd3MgGe6Pd2, relaxed
# DFT total energy in eV/atom: -4.95
# Energy of formation in eV per atom: -0.454
# Crystal system: trigonal
# DOS at the Fermi energy in states/eV/cell: 5.65
data_Nd3MgGe6Pd2
_chemical_formula_sum 'Nd3 Mg1 Ge6 Pd2'
_symmetry_space_group_name_H-M 'P 1'
_symmetry_Int_Tables_number 1
_cell_length_a 6.0598
_cell_length_b 6.0598
_cell_length_c 8.3024
_cell_angle_alpha 90.00
_cell_angle_beta 90.00
_cell_angle_gamma 120.00
loop_
_symmetry_equiv_pos_as_xyz
'x,y,z'
loop_
_atom_site_label
_atom_site_type_symbol
_atom_site_fract_x
_atom_site_fract_y
_atom_site_fract_z
_atom_site_occupancy
Nd1 Nd 0.0000 0.0000 0.0000 1
Nd2 Nd 0.3333 0.6667 0.6229 1
Nd3 Nd 0.6667 0.3333 0.3771 1
Mg1 Mg 0.0000 0.0000 0.5000 1
Ge1 Ge 0.1912 0.3823 0.2767 1
Ge2 Ge 0.1912 0.8088 0.2767 1
Ge3 Ge 0.3823 0.1912 0.7233 1
Ge4 Ge 0.6177 0.8088 0.2767 1
Ge5 Ge 0.8088 0.1912 0.7233 1
Ge6 Ge 0.8088 0.6177 0.7233 1
Pd1 Pd 0.3333 0.6667 0.0204 1
Pd2 Pd 0.6667 0.3333 0.9796 1